Compound: TbHoPd
Source: OQMD via LeMat-Bulk
Functional: PBE
Structure: optimized geometry

For the formation energy, the calculation gives -0.481 eV/atom.

The space group is F-43m (No. 216) and the conventional cell measures 6.881, 6.881 and 6.881 Å, with angles of 90.00, 90.00 and 90.00 degrees. Symmetry generates all atoms from Tb at (0.000, 0.000, 0.000), Ho at (0.000, 0.000, 0.500) and Pd at (0.250, 0.250, 0.750).

---

Compound: Ho2Te6Pd
Source: OQMD via LeMat-Bulk
Functional: PBE
Structure: optimized geometry

Its total energy is -4.45 eV/atom.

The space group is P-62m (No. 189) and the conventional cell measures 8.3305, 8.3305 and 4.0232 Å, with angles of 90.00, 90.00 and 120.00 degrees. Symmetry generates all atoms from Ho at (0.3333, 0.6667, 0.0000), Te at (0.0000, 0.2322, 0.0000), Te at (0.0000, 0.5498, 0.5000) and Pd at (0.0000, 0.0000, 0.5000).